Computed, not measured: a relaxed Mg2RuRhPb crystal at the GGA-PBEsol level of DFT.

Final energy ... -4.3468 eV/atom
SG ... P4/mmm
Formation enthalpy at 0 K ... 387 kJ/mol of formula units
Calculated volume ... 22.53 Å³ per atom

Structure (CIF):
```
data_Mg2RuRhPb
_cell_length_a 4.7370
_cell_length_b 4.7370
_cell_length_c 5.0206
_cell_angle_alpha 90.00
_cell_angle_beta 90.00
_cell_angle_gamma 90.00
_space_group_name_H-M_alt 'P 1'
_space_group_IT_number 1
_space_group_name_Hall 'P 1'
loop_
_atom_site_label
_atom_site_type_symbol
_atom_site_fract_x
_atom_site_fract_y
_atom_site_fract_z
Mg1 Mg 0.0000 0.5000 0.0000
Ru1 Ru 0.0000 0.0000 0.0000
Rh1 Rh 0.5000 0.5000 0.5000
Mg2 Mg 0.5000 0.0000 0.0000
Pb1 Pb 0.0000 0.0000 0.5000
```